(1)
First-principles (PBE) data for an optimized crystal structure of BP2Au, as listed in Alexandria via LeMat-Bulk.

Properties
calculated total energy: -5.15 eV per atom
formation enthalpy at 0 K: 48 meV/atom
calculated volume: 61.9 Å³ per cell

Cell and atoms, written as extended XYZ:
```
4
Lattice="3.289 0.000 0.000 -1.644 2.848 0.000 0.000 0.000 6.610" Properties=species:S:1:pos:R:3 pbc="T T T"
B 0.000 0.000 0.000
P 0.000 0.000 1.950
P 1.644 0.949 5.948
Au 1.644 0.949 3.519
```

(2)
First-principles (PBE) data for an optimized crystal structure of ErAgPdPt, as listed in Alexandria via LeMat-Bulk.

Properties
calculated total energy: -5.37 eV per atom
formation enthalpy at 0 K: -711 meV/atom
calculated volume: 74.1 Å³ per cell

Cell and atoms, written as extended XYZ:
```
4
Lattice="0.000 3.334 3.334 3.334 0.000 3.334 3.334 3.334 0.000" Properties=species:S:1:pos:R:3 pbc="T T T"
Er 0.000 0.000 0.000
Ag 3.334 3.334 3.334
Pd 5.001 5.001 5.001
Pt 1.667 1.667 1.667
```

(3)
First-principles (PBE) data for an optimized crystal structure of LiPu2Ga3, as listed in Alexandria via LeMat-Bulk.

Properties
calculated total energy: -6.94 eV per atom
formation enthalpy at 0 K: -330 meV/atom
calculated volume: 233.7 Å³ per cell

Cell and atoms, written as extended XYZ:
```
12
Lattice="5.602 0.000 0.000 -2.801 4.851 0.000 0.000 0.000 8.598" Properties=species:S:1:pos:R:3 pbc="T T T"
Li 0.000 0.000 0.000
Li 0.000 0.000 4.299
Pu 0.000 3.234 0.651
Pu 0.000 3.234 3.648
Pu 2.801 1.617 4.950
Pu 2.801 1.617 7.947
Ga 0.000 1.642 6.449
Ga -1.379 4.030 6.449
Ga 1.422 0.821 2.150
Ga 1.379 4.030 6.449
Ga 4.180 0.821 2.150
Ga 2.801 3.209 2.150
```

(4)
First-principles (PBE) data for an optimized crystal structure of Ba3Sb2O8, as listed in Alexandria via LeMat-Bulk.

Properties
calculated total energy: -6.24 eV per atom
calculated volume: 238.6 Å³ per cell
energy relative to the elements, uncorrected: -2.109 eV/atom

Cell and atoms, written as extended XYZ:
```
13
Lattice="3.088 1.783 7.224 -3.088 1.783 7.224 0.000 -3.566 7.224" Properties=species:S:1:pos:R:3 pbc="T T T"
Ba 0.000 0.000 0.000
Ba 0.000 0.000 4.352
Ba 0.000 0.000 17.319
Sb 0.000 0.000 8.807
Sb 0.000 0.000 12.864
O -1.564 -0.903 12.244
O 0.000 -1.806 9.427
O -1.564 0.903 9.427
O 0.000 0.000 6.910
O 0.000 0.000 14.762
O 1.564 -0.903 12.244
O 0.000 1.806 12.244
O 1.564 0.903 9.427
```

(5)
First-principles (PBE) data for an optimized crystal structure of Ti2Al2ZnCu7, as listed in Alexandria via LeMat-Bulk.

Properties
calculated total energy: -4.49 eV per atom
formation enthalpy at 0 K: -56 meV/atom
calculated volume: 167.1 Å³ per cell

Cell and atoms, written as extended XYZ:
```
12
Lattice="2.634 -2.751 0.000 2.634 2.751 0.000 0.000 0.000 11.530" Properties=species:S:1:pos:R:3 pbc="T T T"
Ti 0.000 0.000 2.011
Ti 0.000 0.000 9.520
Al 2.634 0.000 2.339
Al 2.634 0.000 9.191
Zn 2.634 0.000 5.765
Cu 0.000 0.000 5.765
Cu 1.317 1.376 4.009
Cu 1.317 1.376 7.521
Cu 2.634 1.182 0.000
Cu 1.317 -1.376 4.009
Cu 1.317 -1.376 7.521
Cu 2.634 -1.182 0.000
```

(6)
First-principles (PBE) data for an optimized crystal structure of AcP2IrS8, as listed in Alexandria via LeMat-Bulk.

Properties
calculated total energy: -5.15 eV per atom
calculated volume: 308.2 Å³ per cell
energy relative to the elements, uncorrected: -0.416 eV/atom

Cell and atoms, written as extended XYZ:
```
12
Lattice="6.477 0.000 0.000 -3.238 5.609 0.000 0.000 0.000 8.483" Properties=species:S:1:pos:R:3 pbc="T T T"
Ac 0.000 0.000 0.000
P 0.000 3.739 2.167
P 3.238 1.870 6.315
Ir 0.000 0.000 4.241
S 0.000 1.704 2.553
S -1.762 4.757 2.553
S 1.476 0.852 5.930
S 0.000 3.739 0.147
S 3.238 1.870 8.336
S 1.762 4.757 2.553
S 5.001 0.852 5.930
S 3.238 3.905 5.930
```

Question: Number 4 is which compound?
Answer: Ba3Sb2O8